This record from Alexandria via LeMat-Bulk describes a geometry-optimized Er2Cu3Pt structure. The functional is PBE.

Results
E_tot, eV per atom: -5.113
ΔE_f, eV per formula unit: -3.2
Space-group type: Pmm2
Crystal system: orthorhombic

Cell lengths 3.504, 4.323, 7.359 Å; angles 90.00, 90.00, 90.00 degrees
Fractional coordinates of all 6 atoms:
Er  0.000  0.000  0.000
Er  0.000  0.500  0.482
Cu  0.500  0.000  0.672
Cu  0.500  0.500  0.144
Cu  0.500  0.500  0.818
Pt  0.500  0.000  0.326